1.
InAgCl2 | Alexandria via LeMat-Bulk | GGA-PBE | relaxed; energy relative to the elements, uncorrected = -2.29 eV/f.u.; total DFT energy (no corrections) = -2.894 eV per atom; size of the total moment = 0.0 μB/f.u.
1.0
3.8041 0.0000 0.0000
0.0000 3.9312 -0.0474
0.0000 1.2964 7.2511
Cl Ag In
2 1 1
Direct
0.0000 0.8370 0.9895 Cl
0.0000 0.6630 0.5105 Cl
0.5000 0.7500 0.7500 Ag
0.5000 0.2500 0.2500 In

***

2.
BeTeH | Alexandria via LeMat-Bulk | GGA-PBE | relaxed; energy above the most stable polymorph in this dataset = 0.3209 eV/atom; total DFT energy (no corrections) = -3.289 eV per atom; size of the total moment = 0.0 μB/f.u.
1.0
3.8013 0.0335 1.1081
-0.0071 4.7328 -0.0385
2.1242 0.1093 6.9623
Be Te H
2 2 2
Direct
0.8216 0.6335 0.0727 Be
0.3056 0.1336 0.0881 Be
0.0385 0.1349 0.8569 Te
0.0887 0.6322 0.3039 Te
0.0693 0.1319 0.3228 H
0.0579 0.6352 0.8379 H

***

3.
Mg3Ta3CrN8 | Alexandria via LeMat-Bulk | GGA-PBE | relaxed; energy relative to the elements, uncorrected = -14.06 eV/f.u.; total DFT energy (no corrections) = -8.709 eV per atom; size of the total moment = 2.7 μB/f.u.
1.0
-4.8540 1.1288 -3.5367
5.4540 -1.0603 -2.5443
-3.0623 -4.6587 2.7160
Mg Ta Cr N
3 3 1 8
Direct
0.0000 0.0000 0.0000 Mg
0.0000 0.5000 0.0000 Mg
0.5000 0.5000 0.0000 Mg
0.5000 0.0000 0.5000 Ta
0.5000 0.5000 0.5000 Ta
0.0000 0.5000 0.5000 Ta
0.0000 0.0000 0.5000 Cr
0.2534 0.5069 0.2603 N
0.7466 0.4931 0.7397 N
0.7613 0.5227 0.2782 N
0.2387 0.4773 0.7218 N
0.7613 0.0168 0.2782 N
0.2387 0.9832 0.7218 N
0.2555 0.0168 0.2782 N
0.7445 0.9832 0.7218 N

***

4.
HfHg2SeCl | Alexandria via LeMat-Bulk | GGA-PBE | relaxed; energy relative to the elements, uncorrected = 4.26 eV/f.u.; total DFT energy (no corrections) = -2.326 eV per atom; size of the total moment = 0.0 μB/f.u.
1.0
-2.5319 -2.2016 -4.3006
4.1360 -3.4972 -0.6446
-2.1451 -3.0584 2.8286
Hf Hg Se Cl
1 2 1 1
Direct
0.5000 0.5000 0.5000 Hf
0.0000 0.5000 0.0000 Hg
0.5000 0.0000 0.0000 Hg
0.0000 0.0000 0.5000 Se
0.0000 0.0000 0.0000 Cl

***

5.
Hg4Se2Br3 | Alexandria via LeMat-Bulk | GGA-PBE | relaxed; energy relative to the elements, uncorrected = -2.34 eV/f.u.; total DFT energy (no corrections) = -1.726 eV per atom; size of the total moment = 0.0 μB/f.u.
1.0
7.9153 0.3504 -0.7091
-1.1755 8.7481 -0.9104
0.1031 -0.3498 8.8660
Hg Se Br
8 4 6
Direct
0.5104 0.3072 0.8433 Hg
0.9896 0.1567 0.6928 Hg
0.4896 0.6928 0.1567 Hg
0.0104 0.8433 0.3072 Hg
0.8666 0.2665 0.2663 Hg
0.6334 0.7337 0.7335 Hg
0.1334 0.7335 0.7337 Hg
0.3666 0.2663 0.2665 Hg
0.6177 0.4014 0.1482 Se
0.8823 0.8518 0.5986 Se
0.3823 0.5986 0.8518 Se
0.1177 0.1482 0.4014 Se
0.0861 0.2659 0.9844 Br
0.4139 0.0156 0.7341 Br
0.9139 0.7341 0.0156 Br
0.5861 0.9844 0.2659 Br
0.7500 0.3699 0.6301 Br
0.2500 0.6301 0.3699 Br

***

6.
KMn2Zn | Alexandria via LeMat-Bulk | GGA-PBE | relaxed; energy relative to the elements = 0.75 eV per atom; total DFT energy (no corrections) = -4.425 eV per atom; size of the total moment = 8.0 μB/f.u.
1.0
-3.9800 7.3847 -6.0872
-6.5818 6.3599 -4.8640
-4.9287 8.4627 -3.3939
K Mn Zn
1 2 1
Direct
0.7500 0.7500 0.7500 K
0.9833 0.9833 0.9833 Mn
0.5167 0.5167 0.5167 Mn
0.2500 0.2500 0.2500 Zn

***

7.
Na3TiFe | Alexandria via LeMat-Bulk | GGA-PBE | relaxed; energy relative to the elements = 1.73 eV per atom; total DFT energy (no corrections) = -2.329 eV per atom; size of the total moment = 6.9 μB/f.u.
1.0
5.4464 0.0000 0.0000
0.0000 5.4464 0.0000
0.0000 0.0000 5.4464
Na Fe Ti
3 1 1
Direct
0.0000 0.5000 0.0000 Na
0.0000 0.0000 0.5000 Na
0.5000 0.0000 0.0000 Na
0.5000 0.5000 0.5000 Fe
0.0000 0.0000 0.0000 Ti

***

8.
ThMg3Cd | Alexandria via LeMat-Bulk | GGA-PBE | relaxed; energy relative to the elements = -0.03 eV per atom; total DFT energy (no corrections) = -2.659 eV per atom; size of the total moment = 0.0 μB/f.u.
1.0
-0.0015 -0.5555 -3.5150
10.0910 -0.5297 0.0795
-0.7386 -13.7447 2.1724
Th Mg Cd
4 12 4
Direct
0.7500 0.8583 0.9776 Th
0.2500 0.6417 0.4776 Th
0.7500 0.3583 0.5224 Th
0.2500 0.1417 0.0224 Th
0.2500 0.5934 0.0757 Mg
0.7500 0.4066 0.9243 Mg
0.2500 0.0934 0.4243 Mg
0.7500 0.9066 0.5757 Mg
0.2500 0.3818 0.7390 Mg
0.7500 0.1182 0.2390 Mg
0.2500 0.8818 0.7610 Mg
0.7500 0.6293 0.6889 Mg
0.2500 0.3707 0.3111 Mg
0.7500 0.1293 0.8111 Mg
0.7500 0.6182 0.2610 Mg
0.2500 0.8707 0.1889 Mg
0.2500 0.1270 0.6352 Cd
0.2500 0.6270 0.8648 Cd
0.7500 0.3730 0.1352 Cd
0.7500 0.8730 0.3648 Cd